Entry 1:
Computed, not measured: crystalline Gd4Cd2N at its relaxed geometry at the GGA-PBE level of DFT.

ΔE_f (raw): -54 kJ/mol of atoms
crystal system: tetragonal
uncorrected energy: -10.052 eV/atom

Unit cell a=4.897 b=4.897 c=8.366 alpha=72.98 beta=72.98 gamma=90.00
Each line ends with the local moment (μB).
Fractional positions:
Cd  0.367  0.367  0.266  0.00
Cd  0.633  0.633  0.734  0.00
N  0.000  0.000  0.000  -0.08
Gd  0.000  0.500  0.000  7.08
Gd  0.500  0.000  0.000  7.08
Gd  0.163  0.163  0.673  7.04
Gd  0.837  0.837  0.327  7.04


Entry 2:
Computed, not measured: crystalline Gd2CdN at its relaxed geometry at the GGA-PBE level of DFT.

ΔE_f (raw): -84 kJ/mol of atoms
crystal system: trigonal
uncorrected energy: -10.219 eV/atom

Unit cell a=3.549 b=3.549 c=8.353 alpha=77.73 beta=77.73 gamma=60.00
Each line ends with the local moment (μB).
Fractional positions:
Cd  0.500  0.500  0.500  0.02
N  0.000  0.000  0.000  -0.10
Gd  0.277  0.277  0.168  7.21
Gd  0.723  0.723  0.832  7.21


Which of these has the lowest ΔE_f (raw)? Gd2CdN


Which of these has the highest uncorrected energy? Gd4Cd2N